No. 1
# Na2GeRuO (meta-GGA SCAN, single point on PBEsol structure)
data_Na2GeRuO
_cell_length_a 4.075
_cell_length_b 4.075
_cell_length_c 4.582
_cell_angle_alpha 90.00
_cell_angle_beta 90.00
_cell_angle_gamma 90.00
_symmetry_space_group_name_H-M 'P 1'
_symmetry_Int_Tables_number 1
loop_
_symmetry_equiv_pos_as_xyz
'x,y,z'
loop_
_atom_site_label
_atom_site_type_symbol
_atom_site_fract_x
_atom_site_fract_y
_atom_site_fract_z
Ru1 Ru 0.500 0.500 0.500
O1 O 0.000 0.000 0.000
Ge1 Ge 0.000 0.000 0.500
Na1 Na 0.500 0.000 0.000
Na2 Na 0.000 0.500 0.000
# E_form (uncorrected)	-0.03	eV/atom
# uncorrected energy	-13.75	eV per atom
# density	5.145	Mg/m³
# calculated volume	15.21	A^3/atom
# space-group type	P4/mmm, No. 123


No. 2
# NaSmGeO4 (meta-GGA SCAN, single point on PBEsol structure)
data_NaSmGeO4
_cell_length_a 5.314
_cell_length_b 6.552
_cell_length_c 11.620
_cell_angle_alpha 90.00
_cell_angle_beta 90.00
_cell_angle_gamma 90.00
_symmetry_space_group_name_H-M 'P 1'
_symmetry_Int_Tables_number 1
loop_
_symmetry_equiv_pos_as_xyz
'x,y,z'
loop_
_atom_site_label
_atom_site_type_symbol
_atom_site_fract_x
_atom_site_fract_y
_atom_site_fract_z
O1 O 0.209 0.956 0.829
O2 O 0.318 0.750 0.544
O3 O 0.818 0.250 0.956
O4 O 0.233 0.250 0.609
Na1 Na 0.500 0.000 0.000
O5 O 0.291 0.956 0.329
Ge1 Ge 0.058 0.750 0.904
Sm1 Sm 0.003 0.750 0.221
Sm2 Sm 0.497 0.750 0.721
Na2 Na 0.500 0.500 0.000
O6 O 0.709 0.044 0.671
O7 O 0.291 0.544 0.329
O8 O 0.182 0.750 0.044
O9 O 0.209 0.544 0.829
Sm3 Sm 0.997 0.250 0.779
O10 O 0.682 0.250 0.456
O11 O 0.767 0.750 0.391
Sm4 Sm 0.503 0.250 0.279
Ge2 Ge 0.558 0.250 0.596
O12 O 0.267 0.250 0.109
O13 O 0.733 0.750 0.891
O14 O 0.709 0.456 0.671
Na3 Na 0.000 0.500 0.500
Ge3 Ge 0.942 0.250 0.096
Na4 Na 0.000 0.000 0.500
O15 O 0.791 0.456 0.171
O16 O 0.791 0.044 0.171
Ge4 Ge 0.442 0.750 0.404
# E_form (uncorrected)	-2.65	eV/atom
# uncorrected energy	-15.89	eV per atom
# density	5.089	Mg/m³
# calculated volume	14.45	A^3/atom
# space-group type	Pnma, No. 62